{"formula": "FeSi4Ag", "functional": "PBE", "state": "relaxed", "lattice_angstrom": [[0.0000, 3.5522, 3.5522], [3.5522, 0.0000, 3.5522], [3.5522, 3.5522, 0.0000]], "species": ["Fe", "Si", "Si", "Si", "Si", "Ag"], "frac_coords": [[0.0000, 0.0000, 0.0000], [0.1229, 0.6257, 0.6257], [0.6257, 0.1229, 0.6257], [0.6257, 0.6257, 0.1229], [0.6257, 0.6257, 0.6257], [0.2500, 0.2500, 0.2500]], "dos_at_fermi_per_ev_cell": 2.9, "volume_a3_per_fu": 89.6, "e_form_raw_ev_per_atom": 0.539, "e_tot_ev_per_atom": -4.962}